Entry 1:
Below is crystalline PdBrCl2 at its relaxed geometry, with properties calculated at the PBE level.

a b c (Å): 6.079 6.482 6.482
angles (deg): 120.31 90.00 90.00
Sites, in units of the cell vectors:
Pd1 0.250 0.000 0.000
Pd2 0.750 0.000 0.000
Br1 0.000 0.679 0.993
Br2 0.000 0.993 0.679
Cl1 0.000 0.289 0.289
Cl2 0.500 0.006 0.302
Cl3 0.500 0.302 0.006
Cl4 0.500 0.711 0.711

Results
E_tot	-2.9036	eV/atom

***

Entry 2:
Below is crystalline Ag2Pb at its relaxed geometry, with properties calculated at the PBE level.

a b c (Å): 6.257 4.564 9.148
angles (deg): 90.00 90.00 90.00
Sites, in units of the cell vectors:
Ag1 0.084 0.250 0.242
Ag2 0.139 0.250 0.921
Ag3 0.361 0.750 0.421
Ag4 0.416 0.750 0.742
Ag5 0.584 0.250 0.258
Ag6 0.639 0.250 0.579
Ag7 0.861 0.750 0.079
Ag8 0.916 0.750 0.758
Pb1 0.156 0.250 0.592
Pb2 0.344 0.750 0.092
Pb3 0.656 0.250 0.908
Pb4 0.844 0.750 0.408

Results
E_tot	-3.0276	eV/atom

***

Entry 3:
Below is crystalline Li2Ir2O5 at its relaxed geometry, with properties calculated at the PBE level.

a b c (Å): 3.301 3.301 8.246
angles (deg): 90.00 90.00 90.00
Sites, in units of the cell vectors:
Li1 0.000 0.000 0.238
Li2 0.000 0.000 0.762
Ir1 0.500 0.500 0.000
Ir2 0.500 0.500 0.500
O1 0.000 0.000 0.000
O2 0.000 0.500 0.357
O3 0.000 0.500 0.643
O4 0.500 0.000 0.357
O5 0.500 0.000 0.643

Results
E_tot	-5.5705	eV/atom
total moment	1.83	μB per formula unit
energy above the most stable polymorph in this dataset	380.6	meV/atom